1.
Density functional theory data (PBE) for an optimized crystal structure of Mn2TlCl.

extended XYZ file:
```
4
Lattice="0.0000 3.5626 3.5626 3.5626 0.0000 3.5626 3.5626 3.5626 0.0000" Properties=species:S:1:pos:R:3 pbc="T T T"
Mn 0.0000 0.0000 0.0000
Mn 1.7813 1.7813 1.7813
Tl 5.3439 5.3439 5.3439
Cl 3.5626 3.5626 3.5626
```

Calculated values
E above lowest polymorph: 0.592 eV per atom

***

2.
Density functional theory data (PBE) for an optimized crystal structure of MnTlCl2.

extended XYZ file:
```
4
Lattice="3.9971 0.0000 0.0000 0.0000 4.2528 0.0000 0.0000 0.0000 6.0419" Properties=species:S:1:pos:R:3 pbc="T T T"
Mn 0.0000 0.0000 0.0000
Tl 1.9985 0.0000 3.0210
Cl 0.0000 2.1264 3.0210
Cl 1.9985 2.1264 0.0000
```

Calculated values
E above lowest polymorph: 0.494 eV per atom

***

3.
Density functional theory data (PBE) for an optimized crystal structure of MnTlCl2.

extended XYZ file:
```
4
Lattice="5.8639 -1.7563 0.0000 5.8639 1.7563 0.0000 -2.7504 0.0000 5.3122" Properties=species:S:1:pos:R:3 pbc="T T T"
Mn 0.0000 0.0000 0.0000
Tl 1.6827 0.0000 2.7866
Cl 4.4466 0.0000 0.9246
Cl 4.6201 0.0000 4.5661
```

Calculated values
E above lowest polymorph: 0.069 eV per atom